No. 1
Material: K2TiAu
Method: DFT, PBE
State: relaxed

Computed properties:
SG: No. 122
DFT formation energy (meV/atom): 511
E above lowest polymorph (meV/atom): 0

abc: 8.7653 8.7653 8.7653
angles: 95.09 95.09 145.34
With the nearest neighbours (Å) after each atom.
Fractional positions:
K (0.3750, 0.2341, 0.3591)  2 Au 3.29
K (0.7659, 0.1250, 0.1409)  2 Au 3.29
K (0.8750, 0.0159, 0.6409)  2 Au 3.29
K (0.9841, 0.6250, 0.8591)  2 Au 3.29
Ti (0.2500, 0.7500, 0.5000)  2 Au 2.61
Ti (0.5000, 0.5000, 0.0000)  2 Au 2.61
Au (0.0000, 0.0000, 0.0000)  2 Ti 2.61
Au (0.7500, 0.2500, 0.5000)  2 Ti 2.61

---

No. 2
Material: NaLiTmTl
Method: DFT, PBE
State: relaxed

Computed properties:
SG: No. 216
DFT formation energy (meV/atom): -47

abc: 5.1881 5.1881 5.1881
angles: 60.00 60.00 60.00
With the nearest neighbours (Å) after each atom.
Fractional positions:
Na (0.0000, 0.0000, 0.0000)  4 Tl 3.18, 4 Li 3.18
Li (0.2500, 0.2500, 0.2500)  4 Tm 3.18, 4 Na 3.18
Tm (0.5000, 0.5000, 0.5000)  4 Tl 3.18, 4 Li 3.18
Tl (0.7500, 0.7500, 0.7500)  4 Tm 3.18, 4 Na 3.18

---

No. 3
Material: SiHgAs2
Method: DFT, PBE
State: relaxed

Computed properties:
SG: No. 65
Energy relative to the elements, uncorrected (eV/f.u.): 1.16

abc: 5.4747 5.4747 2.7852
angles: 90.00 90.00 90.08
With the nearest neighbours (Å) after each atom.
Fractional positions:
Si (0.0000, 0.0000, 0.0000)  4 As 2.74, 2 Si 2.79
Hg (0.5000, 0.5000, 0.0000)  4 As 2.74, 2 Hg 2.79
As (0.0000, 0.5000, 0.0000)  2 Hg 2.74, 2 Si 2.74, 2 As 2.79
As (0.5000, 0.0000, 0.0000)  2 Hg 2.74, 2 Si 2.74, 2 As 2.79

---

No. 4
Material: NaThAu2
Method: DFT, PBE
State: relaxed

Computed properties:
SG: No. 51
DFT formation energy (meV/atom): -465

abc: 4.9739 3.5618 11.1690
angles: 90.00 90.00 90.00
With the nearest neighbours (Å) after each atom.
Fractional positions:
Na (0.2500, 0.0000, 0.1097)  6 Au 3.06-3.17
Na (0.7500, 0.0000, 0.8903)  6 Au 3.06-3.17
Th (0.2500, 0.0000, 0.6532)  8 Au 3.05-3.19
Th (0.7500, 0.0000, 0.3468)  8 Au 3.05-3.19
Au (0.2500, 0.5000, 0.4163)  2 Au 3.11, 6 Th 3.16-3.19
Au (0.2500, 0.5000, 0.8747)  2 Th 3.05, 6 Na 3.06-3.17
Au (0.7500, 0.5000, 0.1253)  2 Th 3.05, 6 Na 3.06-3.17
Au (0.7500, 0.5000, 0.5837)  2 Au 3.11, 6 Th 3.16-3.19

---

No. 5
Material: Er5InHg6
Method: DFT, PBE
State: relaxed

Computed properties:
SG: No. 12
DFT formation energy (meV/atom): -435

abc: 9.0249 9.0249 5.1275
angles: 106.42 106.42 48.64
With the nearest neighbours (Å) after each atom.
Fractional positions:
Er (0.0000, 0.0000, 0.0000)  8 Hg 3.11-3.23
Er (0.1722, 0.1722, 0.6722)  8 Hg 3.10-3.21
Er (0.3465, 0.3465, 0.3463)  8 Hg 3.10-3.29
Er (0.6535, 0.6535, 0.6537)  8 Hg 3.10-3.29
Er (0.8278, 0.8278, 0.3278)  8 Hg 3.10-3.21
In (0.5000, 0.5000, 0.0000)  8 Hg 3.23-3.28, 4 Er 3.51-3.52
Hg (0.0734, 0.5849, 0.8287)  7 Er 3.10-3.29, 1 In 3.28
Hg (0.2358, 0.7642, 0.5000)  6 Er 3.10-3.21, 2 In 3.23
Hg (0.4151, 0.9266, 0.1713)  7 Er 3.10-3.29, 1 In 3.28
Hg (0.5849, 0.0734, 0.8287)  7 Er 3.10-3.29, 1 In 3.28
Hg (0.7642, 0.2358, 0.5000)  6 Er 3.10-3.21, 2 In 3.23
Hg (0.9266, 0.4151, 0.1713)  7 Er 3.10-3.29, 1 In 3.28

---

No. 6
Material: Ga2Cu5Pd12
Method: DFT, PBE
State: relaxed

Computed properties:
SG: No. 12
DFT formation energy (meV/atom): -144

abc: 7.1269 7.1269 6.2612
angles: 90.83 90.83 64.44
With the nearest neighbours (Å) after each atom.
Fractional positions:
Ga (0.2039, 0.7961, 0.0000)  8 Pd 2.54-2.63
Ga (0.7961, 0.2039, 0.0000)  8 Pd 2.54-2.63
Cu (0.2013, 0.2013, 0.9983)  6 Pd 2.61-2.74, 1 Cu 2.73, 2 Ga 2.88
Cu (0.2648, 0.2648, 0.4182)  8 Pd 2.57-2.73, 2 Cu 2.73-2.87
Cu (0.5000, 0.5000, 0.5000)  6 Pd 2.60-2.80, 2 Cu 2.87
Cu (0.7352, 0.7352, 0.5818)  8 Pd 2.57-2.73, 2 Cu 2.73-2.87
Cu (0.7987, 0.7987, 0.0017)  6 Pd 2.61-2.74, 1 Cu 2.73, 2 Ga 2.88
Pd (0.0580, 0.0580, 0.3064)  2 Ga 2.55, 2 Cu 2.58-2.61, 7 Pd 2.70-2.82
Pd (0.0705, 0.6750, 0.3361)  1 Ga 2.63, 4 Cu 2.69-2.94, 5 Pd 2.70-2.81
Pd (0.1667, 0.5289, 0.7519)  1 Ga 2.54, 3 Cu 2.68-2.80, 5 Pd 2.70-2.78
Pd (0.3250, 0.9295, 0.6639)  1 Ga 2.63, 4 Cu 2.69-2.94, 5 Pd 2.70-2.81
Pd (0.4089, 0.4089, 0.1211)  3 Cu 2.57-2.61, 2 Ga 2.62, 5 Pd 2.69-2.78
Pd (0.4711, 0.8333, 0.2481)  1 Ga 2.54, 3 Cu 2.68-2.80, 5 Pd 2.70-2.78
Pd (0.5289, 0.1667, 0.7519)  1 Ga 2.54, 3 Cu 2.68-2.80, 5 Pd 2.70-2.78
Pd (0.5911, 0.5911, 0.8789)  3 Cu 2.57-2.61, 2 Ga 2.62, 5 Pd 2.69-2.78
Pd (0.6750, 0.0705, 0.3361)  1 Ga 2.63, 4 Cu 2.69-2.94, 5 Pd 2.70-2.81
Pd (0.8333, 0.4711, 0.2481)  1 Ga 2.54, 3 Cu 2.68-2.80, 5 Pd 2.70-2.78
Pd (0.9295, 0.3250, 0.6639)  1 Ga 2.63, 4 Cu 2.69-2.94, 5 Pd 2.70-2.81
Pd (0.9420, 0.9420, 0.6936)  2 Ga 2.55, 2 Cu 2.58-2.61, 7 Pd 2.70-2.82

---

No. 7
Material: KMnIn2Cl8
Method: DFT, PBE
State: relaxed

Computed properties:
SG: No. 148
Energy relative to the elements, uncorrected (eV/f.u.): -13.19

abc: 10.0814 10.0814 10.0814
angles: 38.61 38.61 38.61
With the nearest neighbours (Å) after each atom.
Fractional positions:
K (0.0000, 0.0000, 0.0000)  12 Cl 3.85
Mn (0.5000, 0.5000, 0.5000)  6 Cl 2.54
In (0.2386, 0.2386, 0.2386)  4 Cl 2.44-2.52
In (0.7614, 0.7614, 0.7614)  4 Cl 2.44-2.52
Cl (0.1538, 0.4156, 0.7735)  1 In 2.52, 1 Mn 2.54
Cl (0.2265, 0.8462, 0.5844)  1 In 2.52, 1 Mn 2.54
Cl (0.3257, 0.3257, 0.3257)  1 In 2.44
Cl (0.4156, 0.7735, 0.1538)  1 In 2.52, 1 Mn 2.54
Cl (0.5844, 0.2265, 0.8461)  1 In 2.52, 1 Mn 2.54
Cl (0.6743, 0.6743, 0.6743)  1 In 2.44
Cl (0.7735, 0.1539, 0.4156)  1 In 2.52, 1 Mn 2.54
Cl (0.8461, 0.5844, 0.2265)  1 In 2.52, 1 Mn 2.54

---

No. 8
Material: Mn2SiBiCl
Method: DFT, PBE
State: relaxed

Computed properties:
SG: No. 123
Energy relative to the elements, uncorrected (eV/f.u.): 2.29

abc: 4.9245 4.9245 4.6341
angles: 90.00 90.00 90.00
With the nearest neighbours (Å) after each atom.
Fractional positions:
Mn (0.0000, 0.5000, 0.0000)  2 Si 2.46
Mn (0.5000, 0.0000, 0.0000)  2 Si 2.46
Si (0.0000, 0.0000, 0.0000)  2 Cl 2.32, 4 Mn 2.46
Bi (0.5000, 0.5000, 0.5000)  8 Mn 3.38, 4 Cl 3.48
Cl (0.0000, 0.0000, 0.5000)  2 Si 2.32

---

The E_tot results, record by record, are as follows: -2.831, -2.565, -3.465, -4.288, -2.715, -4.820, -3.643, -5.439 eV/atom.